Below is a relaxed BaTi2C crystal, with properties calculated at the PBE level.

Unit cell a=6.548 b=6.548 c=6.548 alpha=60.00 beta=60.00 gamma=60.00
Fractional coordinates of all 8 atoms:
Ba: 0.125 0.125 0.125
Ba: 0.875 0.875 0.875
Ti: 0.000 0.500 0.500
Ti: 0.500 0.000 0.500
Ti: 0.500 0.500 0.000
Ti: 0.500 0.500 0.500
C: 0.375 0.375 0.375
C: 0.625 0.625 0.625

Calculated values
Calculated total energy in eV/atom: -6.45
Space-group type: No. 227
M_tot in μB/f.u.: 1.17
ΔH_f (0 K) in eV per atom: 0.280
Crystal system: cubic


Below is a relaxed BaTi3C crystal, with properties calculated at the PBE level.

Unit cell a=4.935 b=4.935 c=4.935 alpha=90.00 beta=90.00 gamma=90.00
Fractional coordinates of all 5 atoms:
Ba: 0.000 0.000 0.000
Ti: 0.000 0.000 0.500
Ti: 0.000 0.500 0.000
Ti: 0.500 0.000 0.000
C: 0.500 0.500 0.500

Calculated values
Calculated total energy in eV/atom: -3.91
Space-group type: No. 221
M_tot in μB/f.u.: 1.76
ΔH_f (0 K) in eV per atom: 3.061
Crystal system: cubic


Below is a relaxed Ba2YTiC crystal, with properties calculated at the PBE level.

Unit cell a=5.936 b=5.936 c=4.698 alpha=90.00 beta=90.00 gamma=90.00
Fractional coordinates of all 5 atoms:
Ba: 0.000 0.500 0.000
Ba: 0.500 0.000 0.000
Y: 0.000 0.000 0.500
Ti: 0.500 0.500 0.500
C: 0.000 0.000 0.000

Calculated values
Calculated total energy in eV/atom: -4.66
Space-group type: No. 123
M_tot in μB/f.u.: 0.35
ΔH_f (0 K) in eV per atom: 0.823
Crystal system: tetragonal


Below is a relaxed BaTlC2 crystal, with properties calculated at the PBE level.

Unit cell a=6.776 b=6.776 c=6.776 alpha=90.00 beta=90.00 gamma=90.00
Fractional coordinates of all 16 atoms:
Ba: 0.000 0.000 0.000
Ba: 0.000 0.500 0.500
Ba: 0.500 0.000 0.500
Ba: 0.500 0.500 0.000
Tl: 0.000 0.000 0.500
Tl: 0.000 0.500 0.000
Tl: 0.500 0.000 0.000
Tl: 0.500 0.500 0.500
C: 0.250 0.250 0.250
C: 0.250 0.250 0.750
C: 0.250 0.750 0.250
C: 0.250 0.750 0.750
C: 0.750 0.250 0.250
C: 0.750 0.250 0.750
C: 0.750 0.750 0.250
C: 0.750 0.750 0.750

Calculated values
Calculated total energy in eV/atom: -3.80
Space-group type: No. 225
M_tot in μB/f.u.: 0.00
ΔH_f (0 K) in eV per atom: 1.880
Crystal system: cubic


Below is a relaxed BaTlC2 crystal, with properties calculated at the PBE level.

Unit cell a=5.023 b=5.023 c=14.433 alpha=90.00 beta=90.00 gamma=90.00
Fractional coordinates of all 16 atoms:
Ba: 0.000 0.000 0.000
Ba: 0.000 0.500 0.250
Ba: 0.500 0.000 0.750
Ba: 0.500 0.500 0.500
Tl: 0.000 0.000 0.500
Tl: 0.000 0.500 0.750
Tl: 0.500 0.000 0.250
Tl: 0.500 0.500 0.000
C: 0.118 0.250 0.625
C: 0.250 0.618 0.875
C: 0.250 0.882 0.375
C: 0.382 0.250 0.125
C: 0.618 0.750 0.125
C: 0.750 0.118 0.375
C: 0.750 0.382 0.875
C: 0.882 0.750 0.625

Calculated values
Calculated total energy in eV/atom: -4.03
Space-group type: No. 122
M_tot in μB/f.u.: 0.00
ΔH_f (0 K) in eV per atom: 1.654
Crystal system: tetragonal


Below is a relaxed BaTl3C crystal, with properties calculated at the PBE level.

Unit cell a=5.251 b=5.251 c=5.251 alpha=90.00 beta=90.00 gamma=90.00
Fractional coordinates of all 5 atoms:
Ba: 0.000 0.000 0.000
Tl: 0.000 0.500 0.500
Tl: 0.500 0.000 0.500
Tl: 0.500 0.500 0.000
C: 0.500 0.500 0.500

Calculated values
Calculated total energy in eV/atom: -2.94
Space-group type: No. 221
M_tot in μB/f.u.: 0.00
ΔH_f (0 K) in eV per atom: 0.706
Crystal system: cubic


Below is a relaxed BaTl2C crystal, with properties calculated at the PBE level.

Unit cell a=7.657 b=7.657 c=7.657 alpha=90.00 beta=90.00 gamma=90.00
Fractional coordinates of all 16 atoms:
Ba: 0.000 0.000 0.000
Ba: 0.000 0.500 0.500
Ba: 0.500 0.000 0.500
Ba: 0.500 0.500 0.000
Tl: 0.250 0.250 0.250
Tl: 0.250 0.250 0.750
Tl: 0.250 0.750 0.250
Tl: 0.250 0.750 0.750
Tl: 0.750 0.250 0.250
Tl: 0.750 0.250 0.750
Tl: 0.750 0.750 0.250
Tl: 0.750 0.750 0.750
C: 0.000 0.000 0.500
C: 0.000 0.500 0.000
C: 0.500 0.000 0.000
C: 0.500 0.500 0.500

Calculated values
Calculated total energy in eV/atom: -2.83
Space-group type: No. 225
M_tot in μB/f.u.: 0.00
ΔH_f (0 K) in eV per atom: 1.137
Crystal system: cubic


Below is a relaxed BaTl2C crystal, with properties calculated at the PBE level.

Unit cell a=8.446 b=8.446 c=6.171 alpha=90.00 beta=90.00 gamma=90.00
Fractional coordinates of all 16 atoms:
Ba: 0.000 0.000 0.000
Ba: 0.000 0.500 0.250
Ba: 0.500 0.000 0.750
Ba: 0.500 0.500 0.500
Tl: 0.154 0.750 0.625
Tl: 0.250 0.154 0.375
Tl: 0.250 0.346 0.875
Tl: 0.346 0.750 0.125
Tl: 0.654 0.250 0.125
Tl: 0.750 0.654 0.875
Tl: 0.750 0.846 0.375
Tl: 0.846 0.250 0.625
C: 0.000 0.000 0.500
C: 0.000 0.500 0.750
C: 0.500 0.000 0.250
C: 0.500 0.500 0.000

Calculated values
Calculated total energy in eV/atom: -3.28
Space-group type: No. 122
M_tot in μB/f.u.: 0.00
ΔH_f (0 K) in eV per atom: 0.693
Crystal system: tetragonal


Below is a relaxed BaTlC3 crystal, with properties calculated at the PBE level.

Unit cell a=4.603 b=4.603 c=4.603 alpha=90.00 beta=90.00 gamma=90.00
Fractional coordinates of all 5 atoms:
Ba: 0.000 0.000 0.000
Tl: 0.500 0.500 0.500
C: 0.000 0.500 0.500
C: 0.500 0.000 0.500
C: 0.500 0.500 0.000

Calculated values
Calculated total energy in eV/atom: -3.88
Space-group type: No. 221
M_tot in μB/f.u.: 0.01
ΔH_f (0 K) in eV per atom: 2.515
Crystal system: cubic


Below is a relaxed BaTlC3 crystal, with properties calculated at the PBE level.

Unit cell a=5.290 b=5.290 c=5.290 alpha=90.00 beta=90.00 gamma=90.00
Fractional coordinates of all 5 atoms:
Ba: 0.000 0.000 0.000
Tl: 0.500 0.500 0.500
C: 0.000 0.000 0.500
C: 0.000 0.500 0.000
C: 0.500 0.000 0.000

Calculated values
Calculated total energy in eV/atom: -3.11
Space-group type: No. 221
M_tot in μB/f.u.: 6.32
ΔH_f (0 K) in eV per atom: 3.282
Crystal system: cubic


Below is a relaxed BaTl3C crystal, with properties calculated at the PBE level.

Unit cell a=6.669 b=6.669 c=6.669 alpha=90.00 beta=90.00 gamma=90.00
Fractional coordinates of all 5 atoms:
Ba: 0.000 0.000 0.000
Tl: 0.000 0.000 0.500
Tl: 0.000 0.500 0.000
Tl: 0.500 0.000 0.000
C: 0.500 0.500 0.500

Calculated values
Calculated total energy in eV/atom: -1.74
Space-group type: No. 221
M_tot in μB/f.u.: 1.19
ΔH_f (0 K) in eV per atom: 1.909
Crystal system: cubic


Below is a relaxed BaTmC crystal, with properties calculated at the PBE level.

Unit cell a=3.894 b=4.973 c=9.755 alpha=90.00 beta=90.00 gamma=90.00
Fractional coordinates of all 6 atoms:
Ba: 0.250 0.250 0.192
Ba: 0.750 0.750 0.808
Tm: 0.250 0.250 0.556
Tm: 0.750 0.750 0.444
C: 0.250 0.750 0.589
C: 0.750 0.250 0.411

Calculated values
Calculated total energy in eV/atom: -5.21
Space-group type: No. 59
M_tot in μB/f.u.: 0.49
ΔH_f (0 K) in eV per atom: 0.000
Crystal system: orthorhombic


Below is a relaxed BaUC crystal, with properties calculated at the PBE level.

Unit cell a=9.590 b=5.967 c=6.095 alpha=90.00 beta=90.00 gamma=90.00
Fractional coordinates of all 12 atoms:
Ba: 0.178 0.025 0.250
Ba: 0.178 0.475 0.750
Ba: 0.822 0.525 0.250
Ba: 0.822 0.975 0.750
U: 0.417 0.542 0.250
U: 0.417 0.958 0.750
U: 0.583 0.042 0.250
U: 0.583 0.458 0.750
C: 0.444 0.250 0.000
C: 0.444 0.250 0.500
C: 0.556 0.750 0.000
C: 0.556 0.750 0.500

Calculated values
Calculated total energy in eV/atom: -7.23
Space-group type: No. 57
M_tot in μB/f.u.: 2.22
ΔH_f (0 K) in eV per atom: 0.250
Crystal system: orthorhombic


Below is a relaxed BaVC3 crystal, with properties calculated at the PBE level.

Unit cell a=4.125 b=4.125 c=4.125 alpha=90.00 beta=90.00 gamma=90.00
Fractional coordinates of all 5 atoms:
Ba: 0.000 0.000 0.000
V: 0.500 0.500 0.500
C: 0.000 0.500 0.500
C: 0.500 0.000 0.500
C: 0.500 0.500 0.000

Calculated values
Calculated total energy in eV/atom: -6.70
Space-group type: No. 221
M_tot in μB/f.u.: 0.17
ΔH_f (0 K) in eV per atom: 1.046
Crystal system: cubic